VASP calculation (PBE) on a relaxed structure of PuCN2.

Cell lengths 11.945, 3.715, 5.237 Å; angles 90.00, 90.00, 90.00 degrees
Positions (direct):
Pu  0.140  0.250  0.060
Pu  0.360  0.750  0.560
Pu  0.640  0.250  0.440
Pu  0.860  0.750  0.940
C  0.116  0.750  0.592
C  0.384  0.250  0.092
C  0.616  0.750  0.908
C  0.884  0.250  0.408
N  0.056  0.750  0.788
N  0.164  0.750  0.378
N  0.336  0.250  0.878
N  0.444  0.250  0.288
N  0.556  0.750  0.712
N  0.664  0.750  0.122
N  0.836  0.250  0.622
N  0.944  0.250  0.212

## Properties
Symmetry ... Pnma
Formation energy from raw total energies ... -182 kJ/mol of formula units